Entry 1:
A plane-wave DFT calculation with PBE-GGA was carried out for an optimized crystal structure of Sm4IrBr5.

Values from the calculation:
- Formation energy (no corrections): -14.80 eV/f.u.

Cell: 19.1070 4.0958 8.6924 Å, 90.00 103.64 90.00°
With the nearest neighbours (Å) after each atom.
Space group C2/m (No. 12)
Asymmetric unit:
Sm1 0.0010 0.0000 0.2160  2 Ir 2.78
Sm2 0.1500 0.5000 0.0851  1 Ir 2.79, 4 Br 2.96-3.03
Ir1 0.0000 0.5000 0.0000  6 Sm 2.78-2.79
Br1 0.0000 0.5000 0.5000  4 Sm 3.21
Br2 0.1688 0.0000 0.3377  3 Sm 2.96-3.13
Br3 0.1752 0.0000 0.8469  4 Sm 3.03-3.28

---

Entry 2:
A plane-wave DFT calculation with PBE-GGA was carried out for an optimized crystal structure of SrCd2Au.

Values from the calculation:
- Calculated formation energy: -0.340 eV per atom

Cell: 3.8451 3.8451 7.0560 Å, 90.00 90.00 90.00°
With the nearest neighbours (Å) after each atom.
Space group P4mm (No. 99)
Asymmetric unit:
Sr1 0.0000 0.0000 0.0000  4 Au 3.27, 5 Cd 3.33-3.51
Cd1 0.0000 0.0000 0.4723  4 Cd 3.11, 4 Au 3.11, 1 Sr 3.33
Cd2 0.5000 0.5000 0.6858  1 Au 3.02, 4 Cd 3.11
Au1 0.5000 0.5000 0.2578  5 Cd 3.02-3.11, 4 Sr 3.27

---

Entry 3:
A plane-wave DFT calculation with PBE-GGA was carried out for an optimized crystal structure of PrDy12Tm3.

Values from the calculation:
- Calculated formation energy: 0.021 eV per atom

Cell: 5.0106 5.0106 20.0335 Å, 90.00 90.00 90.00°
With the nearest neighbours (Å) after each atom.
Space group P4/mmm (No. 123)
Asymmetric unit:
Pr1 0.0000 0.0000 0.0000  12 Dy 3.54-3.58
Dy1 0.0000 0.5000 0.1278  2 Tm 3.53, 8 Dy 3.54-3.58, 2 Pr 3.58
Dy2 0.0000 0.5000 0.3759  8 Dy 3.52-3.54, 4 Tm 3.53
Dy3 0.5000 0.5000 0.0000  4 Pr 3.54, 8 Dy 3.58
Dy4 0.5000 0.5000 0.2524  8 Dy 3.52-3.54, 4 Tm 3.54
Dy5 0.5000 0.5000 0.5000  8 Dy 3.53, 4 Tm 3.54
Tm1 0.0000 0.0000 0.2517  12 Dy 3.53-3.54
Tm2 0.0000 0.0000 0.5000  12 Dy 3.53-3.54

---

Entry 4:
A plane-wave DFT calculation with PBE-GGA was carried out for an optimized crystal structure of NaZr2ScCu.

Values from the calculation:
- Calculated formation energy: 1.532 eV per atom

Cell: 5.0061 5.0061 4.9288 Å, 90.00 90.00 90.00°
With the nearest neighbours (Å) after each atom.
Space group P4/mmm (No. 123)
Asymmetric unit:
Na1 0.0000 0.0000 0.0000  2 Sc 2.46, 4 Zr 2.50
Zr1 0.0000 0.5000 0.0000  2 Na 2.50
Sc1 0.0000 0.0000 0.5000  2 Na 2.46
Cu1 0.5000 0.5000 0.5000  8 Zr 3.51, 4 Sc 3.54

---

Entry 5:
A plane-wave DFT calculation with PBE-GGA was carried out for an optimized crystal structure of Ba3AsCl3.

Values from the calculation:
- Formation energy (no corrections): -13.78 eV/f.u.

Cell: 9.2879 9.5604 13.1729 Å, 90.00 90.00 90.00°
With the nearest neighbours (Å) after each atom.
Space group Imma (No. 74)
Asymmetric unit:
Ba1 0.0000 0.2500 0.0052  1 As 3.11, 5 Cl 3.14-3.23
Ba2 0.2500 0.0204 0.2500  2 As 3.20, 4 Cl 3.31-3.48
As1 0.0000 0.2500 0.2414  5 Ba 3.11-3.20
Cl1 0.0000 0.2500 0.7603  5 Ba 3.23-3.48
Cl2 0.2183 0.0000 0.0000  4 Ba 3.14-3.31

---

Entry 6:
A plane-wave DFT calculation with PBE-GGA was carried out for an optimized crystal structure of ScCr4Cd.

Values from the calculation:
- Calculated formation energy: 0.275 eV per atom

Cell: 7.0522 7.0522 7.0522 Å, 90.00 90.00 90.00°
With the nearest neighbours (Å) after each atom.
Space group F-43m (No. 216)
Asymmetric unit:
Sc1 0.0000 0.0000 0.0000  12 Cr 2.92, 4 Cd 3.05
Cr1 0.1248 0.1248 0.3752  6 Cr 2.49-2.50
Cd1 0.2500 0.2500 0.7500  12 Cr 2.92, 4 Sc 3.05

---

Entry 7:
A plane-wave DFT calculation with PBE-GGA was carried out for an optimized crystal structure of TmMgCd2.

Values from the calculation:
- Calculated formation energy: -0.281 eV per atom

Cell: 7.1516 7.1516 7.1516 Å, 90.00 90.00 90.00°
With the nearest neighbours (Å) after each atom.
Space group Fm-3m (No. 225)
Asymmetric unit:
Tm1 0.0000 0.0000 0.0000  8 Cd 3.10
Mg1 0.0000 0.0000 0.5000  8 Cd 3.10
Cd1 0.2500 0.2500 0.2500  4 Mg 3.10, 4 Tm 3.10

---

Entry 8:
A plane-wave DFT calculation with PBE-GGA was carried out for an optimized crystal structure of HgTeAs2.

Values from the calculation:
- Formation energy (no corrections): 0.73 eV/f.u.

Cell: 2.9677 4.0928 8.2342 Å, 90.00 92.71 90.00°
With the nearest neighbours (Å) after each atom.
Space group P2/m (No. 10)
Asymmetric unit:
Hg1 0.0000 0.0000 0.0000  4 As 2.86, 2 Hg 2.97
Te1 0.0000 0.0000 0.5000  4 As 2.95, 2 Te 2.97
As1 0.0171 0.5000 0.7576  2 Hg 2.86, 2 Te 2.95, 2 As 2.97